A geometry-optimized Fe5O8F2 structure. Source: Alexandria via LeMat-Bulk, functional PBE with a Hubbard U. Values from VASP.

Calculated values
Energy in eV per atom: -6.028
Magnetic moment in μB per formula unit: 9.2
ΔE to the lowest computed polymorph in meV per atom: 90
Space-group type: No. 1

```
&SYSTEM
  ibrav = 0, nat = 30, ntyp = 3
/
ATOMIC_SPECIES
Fe 55.84 Fe.upf
O 16.00 O.upf
F 19.00 F.upf
CELL_PARAMETERS angstrom
4.610 0.000 0.000
0.054 7.577 0.000
0.264 3.253 9.178
ATOMIC_POSITIONS angstrom
Fe 0.000 0.000 0.000
Fe 0.244 5.754 7.334
Fe 0.130 5.227 1.892
Fe 0.192 2.873 3.745
Fe 0.309 7.973 5.467
Fe 2.351 3.133 6.360
Fe 2.233 2.568 0.839
Fe 2.531 8.298 8.378
Fe 2.530 5.462 4.551
Fe 2.613 7.869 2.818
O 1.098 4.958 8.940
O 1.115 7.480 7.083
O 1.077 2.139 5.321
O 1.067 4.586 3.461
O 1.406 4.348 0.799
O 1.659 10.055 8.063
O 1.598 4.861 6.140
O 1.559 1.972 2.559
O 1.659 7.151 4.323
O 3.400 6.503 8.490
O 3.374 3.741 4.777
O 3.266 0.891 1.117
O 3.390 6.086 2.937
O 3.871 6.357 5.650
O 3.822 5.887 0.300
O 3.978 8.699 3.949
F 1.064 6.967 1.675
F 3.469 8.958 6.669
F 3.881 3.899 7.484
F 3.814 3.479 2.057
```